# ReHgMo2

Crystalline ReHgMo2 at its relaxed geometry (PBE, Alexandria).

a = 2.8566 Å, b = 2.8566 Å, c = 28.5615 Å
α = 90.00°, β = 90.00°, γ = 120.00°
Space group R-3m (No. 166, hexagonal axes)
Inequivalent atoms, fractional coordinates:
Re (0.0000, 0.0000, 0.0000) (multiplicity 3)
Hg (0.0000, 0.0000, 0.5000) (multiplicity 3)
Mo (0.0000, 0.0000, 0.2566) (multiplicity 6)

As for the density of states at the Fermi level: 0.693 states/eV/atom. The total energy is -98.6 eV/cell. The calculation puts the density at 14282 kg/m3.

---

# ReHgMo2

Crystalline ReHgMo2 at its relaxed geometry (PBE, Alexandria).

a = 4.017 Å, b = 4.017 Å, c = 4.052 Å
α = 90.00°, β = 90.00°, γ = 90.00°
Space group P4/mmm (No. 123)
Inequivalent atoms, fractional coordinates:
Re (0.000, 0.000, 0.000) (multiplicity 1)
Hg (0.500, 0.500, 0.000) (multiplicity 1)
Mo (0.000, 0.500, 0.500) (multiplicity 2)

As for the density of states at the Fermi level: 0.597 states/eV/atom. The total energy is -32.3 eV/cell. The calculation puts the density at 14698 kg/m3.

---

# ReHgMo2

Crystalline ReHgMo2 at its relaxed geometry (PBE, Alexandria).

a = 2.938 Å, b = 3.971 Å, c = 5.800 Å
α = 90.00°, β = 90.00°, γ = 90.00°
Space group Pmmm (No. 47)
Inequivalent atoms, fractional coordinates:
Re (0.000, 0.000, 0.000) (multiplicity 1)
Hg (0.000, 0.000, 0.500) (multiplicity 1)
Mo (0.500, 0.500, 0.212) (multiplicity 2)

As for the density of states at the Fermi level: 0.685 states/eV/atom. The total energy is -32.9 eV/cell. The calculation puts the density at 14201 kg/m3.

---

# ReHgMo2

Crystalline ReHgMo2 at its relaxed geometry (PBE, Alexandria).

a = 7.400 Å, b = 7.400 Å, c = 5.484 Å
α = 90.00°, β = 90.00°, γ = 90.00°
Space group I-42d (No. 122)
Inequivalent atoms, fractional coordinates:
Re (0.000, 0.000, 0.000) (multiplicity 4)
Hg (0.000, 0.000, 0.500) (multiplicity 4)
Mo (0.203, 0.250, 0.125) (multiplicity 8)

As for the density of states at the Fermi level: 1.014 states/eV/atom. The total energy is -122.9 eV/cell. The calculation puts the density at 12799 kg/m3.

---

# ReHgMo2

Crystalline ReHgMo2 at its relaxed geometry (PBE, Alexandria).

a = 5.659 Å, b = 8.194 Å, c = 2.837 Å
α = 90.00°, β = 90.00°, γ = 90.00°
Space group Cmmm (No. 65)
Inequivalent atoms, fractional coordinates:
Re (0.000, 0.000, 0.000) (multiplicity 2)
Hg (0.000, 0.500, 0.000) (multiplicity 2)
Mo (0.250, 0.250, 0.500) (multiplicity 4)

As for the density of states at the Fermi level: 0.841 states/eV/atom. The total energy is -64.8 eV/cell. The calculation puts the density at 14607 kg/m3.

---

# ReHgMo

Crystalline ReHgMo at its relaxed geometry (PBE, Alexandria).

a = 3.127 Å, b = 4.666 Å, c = 14.437 Å
α = 90.00°, β = 90.00°, γ = 90.00°
Space group Fmm2 (No. 42)
Inequivalent atoms, fractional coordinates:
Re (0.000, 0.000, 0.000) (multiplicity 4)
Hg (0.000, 0.000, 0.319) (multiplicity 4)
Mo (0.000, 0.000, 0.641) (multiplicity 4)

As for the density of states at the Fermi level: 0.637 states/eV/atom. The calculation puts the energy above the most stable polymorph in this dataset at 60 meV per atom. The calculation puts the density at 15221 kg/m3.

---

# ReHgMo2

Crystalline ReHgMo2 at its relaxed geometry (PBE, Alexandria).

a = 2.8766 Å, b = 2.8766 Å, c = 28.3455 Å
α = 90.00°, β = 90.00°, γ = 120.00°
Space group R3m (No. 160, hexagonal axes)
Inequivalent atoms, fractional coordinates:
Re (0.0000, 0.0000, 0.0000) (multiplicity 3)
Hg (0.0000, 0.0000, 0.2439) (multiplicity 3)
Mo (0.0000, 0.0000, 0.4877) (multiplicity 3)
Mo (0.0000, 0.0000, 0.7404) (multiplicity 3)

As for the density of states at the Fermi level: 0.842 states/eV/atom. The total energy is -97.5 eV/cell. The calculation puts the density at 14191 kg/m3.

---

# ReHgMo

Crystalline ReHgMo at its relaxed geometry (PBE, Alexandria).

a = 3.060 Å, b = 3.060 Å, c = 11.272 Å
α = 90.00°, β = 90.00°, γ = 90.00°
Space group I4mm (No. 107)
Inequivalent atoms, fractional coordinates:
Re (0.000, 0.000, 0.000) (multiplicity 2)
Hg (0.000, 0.000, 0.685) (multiplicity 2)
Mo (0.000, 0.000, 0.373) (multiplicity 2)

As for the density of states at the Fermi level: 1.016 states/eV/atom. The calculation puts the energy above the most stable polymorph in this dataset at 0 meV per atom. The calculation puts the density at 15194 kg/m3.

---

# ReHgMo2

Crystalline ReHgMo2 at its relaxed geometry (PBE, Alexandria).

a = 4.020 Å, b = 4.020 Å, c = 8.123 Å
α = 90.00°, β = 90.00°, γ = 90.00°
Space group I4/mmm (No. 139)
Inequivalent atoms, fractional coordinates:
Re (0.000, 0.000, 0.000) (multiplicity 2)
Hg (0.000, 0.000, 0.500) (multiplicity 2)
Mo (0.000, 0.500, 0.250) (multiplicity 4)

As for the density of states at the Fermi level: 0.667 states/eV/atom. The total energy is -64.6 eV/cell. The calculation puts the density at 14638 kg/m3.

---

# ReHgMo2

Crystalline ReHgMo2 at its relaxed geometry (PBE, Alexandria).

a = 3.232 Å, b = 4.523 Å, c = 9.259 Å
α = 90.00°, β = 90.00°, γ = 90.00°
Space group Cmmm (No. 65)
Inequivalent atoms, fractional coordinates:
Re (0.000, 0.000, 0.000) (multiplicity 2)
Hg (0.000, 0.000, 0.500) (multiplicity 2)
Mo (0.000, 0.500, 0.229) (multiplicity 4)

As for the density of states at the Fermi level: 0.898 states/eV/atom. The total energy is -65.7 eV/cell. The calculation puts the density at 14198 kg/m3.

---

# Re4HgMo

Crystalline Re4HgMo at its relaxed geometry (PBE, Alexandria).

a = 7.369 Å, b = 7.369 Å, c = 7.369 Å
α = 90.00°, β = 90.00°, γ = 90.00°
Space group F-43m (No. 216)
Inequivalent atoms, fractional coordinates:
Re (0.124, 0.124, 0.376) (multiplicity 16)
Hg (0.250, 0.250, 0.750) (multiplicity 4)
Mo (0.000, 0.000, 0.000) (multiplicity 4)

As for the density of states at the Fermi level: 0.863 states/eV/atom. The total energy is -230.8 eV/cell. The calculation puts the density at 17287 kg/m3.

---

# ReHgMo2

Crystalline ReHgMo2 at its relaxed geometry (PBE, Alexandria).

a = 2.883 Å, b = 2.883 Å, c = 8.150 Å
α = 90.00°, β = 90.00°, γ = 90.00°
Space group P4/mmm (No. 123)
Inequivalent atoms, fractional coordinates:
Re (0.000, 0.000, 0.000) (multiplicity 1)
Hg (0.000, 0.000, 0.500) (multiplicity 1)
Mo (0.500, 0.500, 0.221) (multiplicity 2)

As for the density of states at the Fermi level: 1.136 states/eV/atom. The total energy is -33.0 eV/cell. The calculation puts the density at 14188 kg/m3.

---

# ZrReHg2Mo

Crystalline ZrReHg2Mo at its relaxed geometry (PBE, Alexandria).

a = 5.290 Å, b = 5.290 Å, c = 4.706 Å
α = 90.00°, β = 90.00°, γ = 90.00°
Space group P4/mmm (No. 123)
Inequivalent atoms, fractional coordinates:
Zr (0.000, 0.000, 0.000) (multiplicity 1)
Re (0.000, 0.000, 0.500) (multiplicity 1)
Hg (0.000, 0.500, 0.000) (multiplicity 2)
Mo (0.500, 0.500, 0.500) (multiplicity 1)

As for the density of states at the Fermi level: 1.138 states/eV/atom. The total energy is -21.6 eV/cell. The calculation puts the density at 9766 kg/m3.

---

# HgMo2Rh

Crystalline HgMo2Rh at its relaxed geometry (PBE, Alexandria).

a = 7.381 Å, b = 7.381 Å, c = 5.306 Å
α = 90.00°, β = 90.00°, γ = 90.00°
Space group I-42d (No. 122)
Inequivalent atoms, fractional coordinates:
Hg (0.000, 0.000, 0.000) (multiplicity 4)
Mo (0.214, 0.250, 0.625) (multiplicity 8)
Rh (0.000, 0.000, 0.500) (multiplicity 4)

As for the density of states at the Fermi level: 0.963 states/eV/atom. The total energy is -105.2 eV/cell. The calculation puts the density at 11382 kg/m3.

---

# HgMo2Rh

Crystalline HgMo2Rh at its relaxed geometry (PBE, Alexandria).

a = 6.425 Å, b = 6.425 Å, c = 6.425 Å
α = 90.00°, β = 90.00°, γ = 90.00°
Space group F-43m (No. 216)
Inequivalent atoms, fractional coordinates:
Hg (0.000, 0.000, 0.000) (multiplicity 4)
Mo (0.000, 0.000, 0.500) (multiplicity 4)
Mo (0.250, 0.250, 0.250) (multiplicity 4)
Rh (0.250, 0.250, 0.750) (multiplicity 4)

As for the density of states at the Fermi level: 1.230 states/eV/atom. The total energy is -110.4 eV/cell. The calculation puts the density at 12406 kg/m3.